LaWN3 | GGA-PBE | relaxed

Results
Formation energy without anion corrections ... -0.999 eV/atom
Uncorrected energy ... -0.352 Ha/atom

Cell: 5.864 3.886 8.031 Å, 90.00 109.31 90.00°
Fractional positions:
La (0.244, 0.250, 0.186)
La (0.756, 0.750, 0.814)
W (0.143, 0.250, 0.669)
W (0.857, 0.750, 0.331)
N (0.025, 0.750, 0.609)
N (0.041, 0.250, 0.866)
N (0.469, 0.250, 0.739)
N (0.531, 0.750, 0.261)
N (0.959, 0.750, 0.134)
N (0.975, 0.250, 0.391)